# 1
{
  "formula": "Fe2ReOs",
  "functional": "PBE-GGA",
  "state": "optimized geometry",
  "cell": [[0.000, 2.637, 3.625], [2.632, 0.000, 3.625], [2.632, 2.637, 0.000]],
  "species": ["Fe", "Fe", "Re", "Os"],
  "fractional_positions": [[0.250, 0.250, 0.250], [0.750, 0.750, 0.750], [0.000, 0.000, 0.000], [0.500, 0.500, 0.500]],
  "magnetic_moment_mub_per_cell": 0.00,
  "energy_ev_per_atom": -10.05,
  "ef_kcal_per_mol_atoms": 2.39,
  "dos_ef_per_ev_fu": 4.67
}



# 2
{
  "formula": "K2PtPb",
  "functional": "PBE-GGA",
  "state": "optimized geometry",
  "cell": [[-2.135, 2.971, 5.474], [2.135, -2.971, 5.474], [2.135, 2.971, -5.474]],
  "species": ["K", "K", "Pt", "Pb"],
  "fractional_positions": [[0.000, 0.000, 0.000], [0.692, 0.192, 0.500], [0.436, 0.436, 0.000], [0.293, 0.793, 0.500]],
  "magnetic_moment_mub_per_cell": 0.00,
  "energy_ev_per_atom": -3.12,
  "ef_kcal_per_mol_atoms": -3.01,
  "dos_ef_per_ev_fu": 1.48
}



# 3
{
  "formula": "Re3GeRh",
  "functional": "PBE-GGA",
  "state": "optimized geometry",
  "cell": [[4.480, 0.000, 0.000], [0.000, 4.480, 0.000], [0.000, 0.000, 4.480]],
  "species": ["Re", "Re", "Re", "Ge", "Rh"],
  "fractional_positions": [[0.000, 0.000, 0.500], [0.000, 0.500, 0.000], [0.500, 0.000, 0.000], [0.000, 0.000, 0.000], [0.500, 0.500, 0.500]],
  "magnetic_moment_mub_per_cell": 0.00,
  "energy_ev_per_atom": -8.00,
  "ef_kcal_per_mol_atoms": 42.88,
  "relative_energy_kj_per_mol_fu": 0,
  "dos_ef_per_ev_fu": 7.64
}



# 4
{
  "formula": "Nd3Hg5S12",
  "functional": "PBE-GGA",
  "state": "optimized geometry",
  "cell": [[-7.964, 7.964, 7.964], [7.964, -7.964, 7.964], [7.964, 7.964, -7.964]],
  "species": ["Nd", "Nd", "Nd", "Nd", "Nd", "Nd", "Nd", "Nd", "Nd", "Nd", "Nd", "Nd", "Hg", "Hg", "Hg", "Hg", "Hg", "Hg", "Hg", "Hg", "Hg", "Hg", "Hg", "Hg", "Hg", "Hg", "Hg", "Hg", "Hg", "Hg", "Hg", "Hg", "S", "S", "S", "S", "S", "S", "S", "S", "S", "S", "S", "S", "S", "S", "S", "S", "S", "S", "S", "S", "S", "S", "S", "S", "S", "S", "S", "S", "S", "S", "S", "S", "S", "S", "S", "S", "S", "S", "S", "S", "S", "S", "S", "S", "S", "S", "S", "S"],
  "fractional_positions": [[0.125, 0.250, 0.375], [0.125, 0.375, 0.750], [0.250, 0.375, 0.125], [0.250, 0.875, 0.625], [0.375, 0.125, 0.250], [0.375, 0.750, 0.125], [0.625, 0.250, 0.875], [0.625, 0.875, 0.750], [0.750, 0.125, 0.375], [0.750, 0.625, 0.875], [0.875, 0.625, 0.250], [0.875, 0.750, 0.625], [0.000, 0.000, 0.000], [0.000, 0.000, 0.500], [0.000, 0.500, 0.000], [0.000, 0.500, 0.500], [0.125, 0.750, 0.875], [0.125, 0.875, 0.250], [0.250, 0.125, 0.875], [0.250, 0.625, 0.375], [0.375, 0.250, 0.625], [0.375, 0.625, 0.750], [0.500, 0.000, 0.000], [0.500, 0.000, 0.500], [0.500, 0.500, 0.000], [0.500, 0.500, 0.500], [0.625, 0.375, 0.250], [0.625, 0.750, 0.375], [0.750, 0.375, 0.625], [0.750, 0.875, 0.125], [0.875, 0.125, 0.750], [0.875, 0.250, 0.125], [0.049, 0.220, 0.136], [0.049, 0.329, 0.914], [0.084, 0.720, 0.671], [0.084, 0.864, 0.414], [0.086, 0.636, 0.416], [0.086, 0.951, 0.671], [0.136, 0.049, 0.220], [0.136, 0.586, 0.916], [0.171, 0.220, 0.584], [0.171, 0.451, 0.586], [0.220, 0.136, 0.049], [0.220, 0.584, 0.171], [0.280, 0.329, 0.916], [0.280, 0.451, 0.364], [0.329, 0.914, 0.049], [0.329, 0.916, 0.280], [0.364, 0.280, 0.451], [0.364, 0.584, 0.914], [0.414, 0.084, 0.864], [0.414, 0.829, 0.549], [0.416, 0.086, 0.636], [0.416, 0.829, 0.780], [0.451, 0.364, 0.280], [0.451, 0.586, 0.171], [0.549, 0.414, 0.829], [0.549, 0.636, 0.720], [0.584, 0.171, 0.220], [0.584, 0.914, 0.364], [0.586, 0.171, 0.451], [0.586, 0.916, 0.136], [0.636, 0.416, 0.086], [0.636, 0.720, 0.549], [0.671, 0.084, 0.720], [0.671, 0.086, 0.951], [0.720, 0.549, 0.636], [0.720, 0.671, 0.084], [0.780, 0.416, 0.829], [0.780, 0.864, 0.951], [0.829, 0.549, 0.414], [0.829, 0.780, 0.416], [0.864, 0.414, 0.084], [0.864, 0.951, 0.780], [0.914, 0.049, 0.329], [0.914, 0.364, 0.584], [0.916, 0.136, 0.586], [0.916, 0.280, 0.329], [0.951, 0.671, 0.086], [0.951, 0.780, 0.864]],
  "formation_energy_uncorrected_mev_per_atom": -584,
  "magnetic_moment_mub_per_cell": 0.00,
  "energy_ev_per_atom": -3.85,
  "dos_ef_per_ev_fu": 11.83
}



# 5
{
  "formula": "NaLaTa2F",
  "functional": "PBE-GGA",
  "state": "optimized geometry",
  "cell": [[4.731, 0.000, 0.000], [0.000, 4.731, 0.000], [0.000, 0.000, 6.013]],
  "species": ["Na", "La", "Ta", "Ta", "F"],
  "fractional_positions": [[0.000, 0.000, 0.000], [0.000, 0.000, 0.500], [0.000, 0.500, 0.000], [0.500, 0.000, 0.000], [0.500, 0.500, 0.500]],
  "formation_energy_uncorrected_mev_per_atom": 1712,
  "magnetic_moment_mub_per_cell": 2.62,
  "energy_ev_per_atom": -4.65,
  "dos_ef_per_ev_fu": 6.33
}



# 6
{
  "formula": "LiPr2PuTe5",
  "functional": "PBE-GGA",
  "state": "optimized geometry",
  "cell": [[2.228, -9.410, 0.000], [2.228, 9.410, 0.000], [0.000, 0.000, 13.290]],
  "species": ["Li", "Li", "Pr", "Pr", "Pr", "Pr", "Pu", "Pu", "Te", "Te", "Te", "Te", "Te", "Te", "Te", "Te", "Te", "Te"],
  "fractional_positions": [[0.057, 0.943, 0.500], [0.943, 0.057, 0.000], [0.374, 0.626, 0.339], [0.393, 0.607, 0.721], [0.607, 0.393, 0.221], [0.626, 0.374, 0.839], [0.300, 0.700, 0.044], [0.700, 0.300, 0.544], [0.002, 0.998, 0.817], [0.134, 0.866, 0.035], [0.188, 0.812, 0.381], [0.214, 0.786, 0.704], [0.452, 0.548, 0.109], [0.548, 0.452, 0.609], [0.786, 0.214, 0.204], [0.812, 0.188, 0.881], [0.866, 0.134, 0.535], [0.998, 0.002, 0.317]],
  "formation_energy_uncorrected_mev_per_atom": -1209,
  "magnetic_moment_mub_per_cell": 10.00,
  "energy_ev_per_atom": -5.82,
  "dos_ef_per_ev_fu": 14.98
}



# 7
{
  "formula": "HfMo3Cl",
  "functional": "PBE-GGA",
  "state": "optimized geometry",
  "cell": [[4.451, 0.000, 0.000], [0.000, 4.451, 0.000], [0.000, 0.000, 4.451]],
  "species": ["Hf", "Mo", "Mo", "Mo", "Cl"],
  "fractional_positions": [[0.000, 0.000, 0.000], [0.000, 0.500, 0.500], [0.500, 0.000, 0.500], [0.500, 0.500, 0.000], [0.500, 0.500, 0.500]],
  "formation_energy_uncorrected_mev_per_atom": 749,
  "magnetic_moment_mub_per_cell": 0.00,
  "energy_ev_per_atom": -8.11,
  "relative_energy_kj_per_mol_fu": 0,
  "dos_ef_per_ev_fu": 7.61
}



# 8
{
  "formula": "NiPSe2",
  "functional": "PBE-GGA",
  "state": "optimized geometry",
  "cell": [[0.000, 3.192, 3.192], [3.192, 0.000, 3.192], [3.192, 3.192, 0.000]],
  "species": ["Ni", "P", "Se", "Se"],
  "fractional_positions": [[0.000, 0.000, 0.000], [0.250, 0.250, 0.250], [0.500, 0.500, 0.500], [0.750, 0.750, 0.750]],
  "formation_energy_uncorrected_mev_per_atom": 658,
  "magnetic_moment_mub_per_cell": 0.19,
  "energy_ev_per_atom": -3.88,
  "dos_ef_per_ev_fu": 4.57
}